Entry from the Alexandria database: a relaxed structure of Na2IrPtAu (PBEsol).

Structure (CIF):
```
data_Na2IrPtAu
_cell_length_a 4.810
_cell_length_b 4.810
_cell_length_c 5.029
_cell_angle_alpha 90.00
_cell_angle_beta 90.00
_cell_angle_gamma 90.00
_space_group_name_H-M_alt 'P 4/m m m'
_space_group_IT_number 123
_space_group_name_Hall '-P 4 2'
loop_
_atom_site_label
_atom_site_type_symbol
_atom_site_fract_x
_atom_site_fract_y
_atom_site_fract_z
Na1 Na 0.000 0.500 0.000
Ir1 Ir 0.000 0.000 0.500
Pt1 Pt 0.500 0.500 0.500
Au1 Au 0.500 0.500 0.000
```

Computed properties:
Total energy: -3.3428 eV/atom
E_form: 1.36 eV/atom
Total magnetic moment: 1.5 μB per formula unit

***

Entry from the Alexandria database: a relaxed structure of RbFe3Se (PBEsol).

Structure (CIF):
```
data_RbFe3Se
_cell_length_a 4.573
_cell_length_b 4.573
_cell_length_c 4.573
_cell_angle_alpha 90.00
_cell_angle_beta 90.00
_cell_angle_gamma 90.00
_space_group_name_H-M_alt 'P m -3 m'
_space_group_IT_number 221
_space_group_name_Hall '-P 4 2 3'
loop_
_atom_site_label
_atom_site_type_symbol
_atom_site_fract_x
_atom_site_fract_y
_atom_site_fract_z
Rb1 Rb 0.000 0.000 0.000
Fe1 Fe 0.000 0.500 0.500
Se1 Se 0.500 0.500 0.500
```

Computed properties:
Total energy: -5.4237 eV/atom
Energy relative to the elements, uncorrected: 929 meV per atom
Total magnetic moment: 7.0 μB per formula unit

***

Entry from the Alexandria database: a relaxed structure of Ba2NbP2O9F (PBEsol).

Structure (CIF):
```
data_Ba2NbP2O9F
_cell_length_a 7.090
_cell_length_b 7.196
_cell_length_c 9.030
_cell_angle_alpha 90.00
_cell_angle_beta 90.79
_cell_angle_gamma 90.00
_space_group_name_H-M_alt 'P 1 21 1'
_space_group_IT_number 4
loop_
_space_group_symop_operation_xyz
'x,y,z'
'-x,y+1/2,-z'
loop_
_atom_site_label
_atom_site_type_symbol
_atom_site_fract_x
_atom_site_fract_y
_atom_site_fract_z
Ba1 Ba 0.170 0.000 0.066
Ba2 Ba 0.173 0.218 0.573
Nb1 Nb 0.476 0.356 0.252
P1 P 0.301 0.719 0.426
P2 P 0.303 0.505 0.927
O1 O 0.175 0.578 0.502
O2 O 0.176 0.642 0.005
O3 O 0.185 0.878 0.358
O4 O 0.189 0.345 0.861
O5 O 0.236 0.282 0.269
O6 O 0.429 0.602 0.808
O7 O 0.433 0.626 0.308
O8 O 0.452 0.803 0.537
O9 O 0.460 0.425 0.036
F1 F 0.240 0.950 0.772
```

Computed properties:
Total energy: -7.8509 eV/atom
Energy relative to the elements, uncorrected: -2793 meV per atom
Total magnetic moment: 0.0 μB per formula unit